*P*
## VIrRu2O (GGA+U)

Data for crystalline VIrRu2O at its relaxed geometry.

Cell and atoms, written as CIF:
```
data_VIrRu2O
_cell_length_a 4.535
_cell_length_b 4.535
_cell_length_c 4.549
_cell_angle_alpha 90.00
_cell_angle_beta 90.00
_cell_angle_gamma 90.00
_space_group_name_H-M_alt 'P 4/m m m'
_space_group_IT_number 123
_space_group_name_Hall '-P 4 2'
loop_
_atom_site_label
_atom_site_fract_x
_atom_site_fract_y
_atom_site_fract_z
V1 0.000 0.000 0.000
Ir1 0.000 0.000 0.500
Ru1 0.000 0.500 0.000
O1 0.500 0.500 0.500
```

Summary:
The density of states at the Fermi level comes out at 4.141 states/eV/f.u. For the calculated volume, the calculation gives 18.71 A^3/atom. The crystal system is tetragonal.

*Q*
## VIrRu2O (GGA+U)

Data for crystalline VIrRu2O at its relaxed geometry.

Cell and atoms, written as CIF:
```
data_VIrRu2O
_cell_length_a 4.017
_cell_length_b 4.017
_cell_length_c 3.975
_cell_angle_alpha 90.00
_cell_angle_beta 90.00
_cell_angle_gamma 90.00
_space_group_name_H-M_alt 'P 4/m m m'
_space_group_IT_number 123
_space_group_name_Hall '-P 4 2'
loop_
_atom_site_label
_atom_site_fract_x
_atom_site_fract_y
_atom_site_fract_z
V1 0.000 0.000 0.000
Ir1 0.500 0.500 0.000
Ru1 0.000 0.500 0.500
O1 0.000 0.000 0.500
```

Summary:
The density of states at the Fermi level comes out at 4.344 states/eV/f.u. For the calculated volume, the calculation gives 12.83 A^3/atom. The crystal system is tetragonal.

Which structure is most stable? *Q*, by 1996 meV per atom over the runner-up.